Density functional theory data (PBE-GGA) for a relaxed structure of Ho4ZnPd2.

Calculated values
Its energy of formation is -0.49 eV per atom. As for the space group: R-3m, No. 166.

a = 9.425 Å, b = 9.425 Å, c = 9.425 Å
α = 29.29°, β = 29.29°, γ = 29.29°
Positions (direct):
Ho: 0.120 0.120 0.120
Ho: 0.295 0.295 0.295
Ho: 0.705 0.705 0.705
Ho: 0.880 0.880 0.880
Zn: 0.500 0.500 0.500
Pd: 0.404 0.404 0.404
Pd: 0.596 0.596 0.596